VASP calculation (PBE) on GeTeH2 after structural relaxation.

## Properties
As for the total energy: -11.5 eV per cell. Its space-group type is Fm-3m. For the energy above the most stable polymorph in this dataset, the calculation gives 0.7596 eV/atom.

Structure (POSCAR):
```
GeTeH2
1.0
0.285 -4.010 -1.305
-1.969 -1.217 -3.536
2.248 -0.944 -3.453
H Te Ge
2 1 1
Cartesian
0.141 -1.543 -2.073
0.423 -4.629 -6.220
0.282 -3.086 -4.147
0.000 0.000 0.000
```

=====

VASP calculation (PBE) on Na2AlInS4 after structural relaxation.

## Properties
As for the total energy: -67.7 eV per cell. Its space-group type is Pmn2_1. The calculation puts the uncorrected formation energy at -1.03 eV per atom.

Structure (POSCAR):
```
Na2AlInS4
1.0
-3.794 -5.076 2.140
3.612 0.224 6.935
-5.319 5.074 2.606
Al S In Na
2 8 2 4
Cartesian
-3.231 -5.028 3.196
-1.488 0.202 8.240
-0.105 -4.223 8.008
-2.967 1.829 7.575
-0.451 -0.572 6.342
-3.655 0.679 2.888
-6.380 -0.658 6.078
-0.754 -1.673 1.718
-2.739 -1.514 9.027
-3.577 -3.331 4.705
1.221 -2.338 7.044
-5.949 -2.501 4.397
-1.982 -1.138 4.072
-5.385 -1.068 8.660
-4.611 1.370 5.360
-2.695 -3.634 7.342
```

=====

VASP calculation (PBE) on SmTh2Te6 after structural relaxation.

## Properties
As for the total energy: -95.2 eV per cell. Its space-group type is P4_2/mnm. The calculation puts the uncorrected formation energy at -1.02 eV per atom.

Structure (POSCAR):
```
SmTh2Te6
1.0
7.403 0.000 0.000
0.000 7.403 0.000
0.000 0.000 13.828
Te Sm Th
12 2 4
Cartesian
5.924 1.479 0.000
2.206 2.206 2.303
5.907 1.495 4.611
2.223 2.223 6.914
5.907 1.495 9.217
1.495 5.907 9.217
2.206 2.206 11.525
5.180 5.180 6.914
5.197 5.197 2.303
1.495 5.907 4.611
5.197 5.197 11.525
1.479 5.924 0.000
3.701 3.701 0.000
0.000 0.000 6.914
3.701 3.701 9.231
0.000 0.000 2.317
3.701 3.701 4.597
0.000 0.000 11.512
```